Here is a relaxed LiLuTh2 crystal from the Alexandria database. Energies are from GGA-PBE.

Properties
ΔE to the lowest computed polymorph	0	meV per atom
magnetic moment	0.000	μB per formula unit
total energy	-5.172	eV/atom

a = 3.467 Å, b = 3.467 Å, c = 9.525 Å
α = 90.00°, β = 90.00°, γ = 90.00°
Space group P4/mmm (No. 123)
One atom of each set of equivalent atoms:
Li 0.000 0.000 0.000 [1 per cell]
Lu 0.000 0.000 0.500 [1 per cell]
Th 0.500 0.500 0.235 [2 per cell]